Arrangement 1

Compound: KLiCo2
Source: Alexandria
Functional: PBE
Structure: optimized geometry

```
data_KLiCo2
_chemical_formula_sum 'K2 Li2 Co4'
_cell_length_a 5.163
_cell_length_b 10.226
_cell_length_c 2.661
_cell_angle_alpha 90.00
_cell_angle_beta 112.98
_cell_angle_gamma 90.00
_space_group_name_H-M_alt 'C 1 2/m 1'
_space_group_IT_number 12
_space_group_name_Hall '-C 2y'
loop_
_atom_site_label
_atom_site_fract_x
_atom_site_fract_y
_atom_site_fract_z
K1 0.000 0.000 0.000
Li1 0.000 0.500 0.000
Co1 0.250 0.250 0.500
```

V ... 64.7 Å³/f.u.

=====

Arrangement 2

Compound: KLiCo2
Source: Alexandria
Functional: PBE
Structure: optimized geometry

```
data_KLiCo2
_chemical_formula_sum 'K3 Li3 Co6'
_cell_length_a 3.9007
_cell_length_b 3.9007
_cell_length_c 19.5328
_cell_angle_alpha 90.00
_cell_angle_beta 90.00
_cell_angle_gamma 120.00
_space_group_name_H-M_alt 'R 3 m'
_space_group_IT_number 160
_space_group_name_Hall 'R 3 -2"'
loop_
_atom_site_label
_atom_site_fract_x
_atom_site_fract_y
_atom_site_fract_z
K1 0.0000 0.0000 0.0000
Li1 0.0000 0.0000 0.8063
Co1 0.0000 0.0000 0.2030
Co2 0.0000 0.0000 0.5359
```

V ... 85.8 Å³/f.u.

=====

What should be chosen as the least stable of them? Choose arrangement 1.